The following is a DFT calculation (GGA-PBE) of CaLa3Tc after structural relaxation.

Lattice parameters (Å, degrees): 4.509 4.509 22.358 90.00 90.00 120.00
Element x y z (fractional)
Ca: 0.000 0.000 0.000
Ca: 0.000 0.000 0.500
Tc: 0.333 0.667 0.750
Tc: 0.667 0.333 0.250
La: 0.000 0.000 0.250
La: 0.000 0.000 0.750
La: 0.333 0.667 0.872
La: 0.333 0.667 0.628
La: 0.667 0.333 0.372
La: 0.667 0.333 0.128

The value obtained for the formation enthalpy at 0 K is 2.0 eV per formula unit. As for the space-group type: P6_3/mmc (194). The value obtained for the electronic total energy is -5.038 eV per atom. The calculation puts the energy above the lowest structure with this stoichiometry at 0.407 eV per atom.